Computed, not measured: Sc2CoReO after structural relaxation at the PBE+U level of DFT.

SG: No. 123
Calculated total energy: -31.6 eV per formula unit
Total magnetization: 0.868 μB/cell

a = 4.8410 Å, b = 4.1793 Å, c = 4.8410 Å
α = 90.00°, β = 90.00°, γ = 90.00°
With the nearest neighbours (Å) after each atom.
Positions (direct):
Sc 0.5000 0.0000 0.0000  2 Co 2.42
Sc 0.0000 0.0000 0.5000  2 Co 2.42
Co 0.0000 0.0000 0.0000  2 Re 2.09
O 0.5000 0.5000 0.5000  8 Sc 3.20, 4 Re 3.42
Re 0.0000 0.5000 0.0000  2 Co 2.09


Computed, not measured: Sr2CoReO6 after structural relaxation at the PBE+U level of DFT.

SG: No. 14
Calculated total energy: -71.7 eV per formula unit
Total magnetization: 7.902 μB/cell

a = 5.6503 Å, b = 5.6524 Å, c = 15.9632 Å
α = 89.95°, β = 90.00°, γ = 90.00°
With the nearest neighbours (Å) after each atom.
Positions (direct):
O 0.7680 0.7878 0.2355  1 Re 1.95, 1 Co 2.10
Sr 0.5223 0.5051 0.1254  8 O 2.55-2.81
O 0.7149 0.2649 0.2639  1 Re 1.94, 1 Co 2.10
Sr 0.0222 0.9949 0.1246  8 O 2.55-2.81
Re 0.5000 0.0000 0.2500  6 O 1.93-1.95
O 0.2676 0.7125 0.5146  1 Re 1.95, 1 Co 2.10
O 0.0079 0.5559 0.8806  1 Re 1.93, 1 Co 2.11
O 0.4924 0.0559 0.6306  1 Re 1.93, 1 Co 2.11
Sr 0.0221 0.9948 0.6246  8 O 2.55-2.81
O 0.2151 0.2353 0.4861  1 Re 1.94, 1 Co 2.10
O 0.9923 0.4442 0.1194  1 Re 1.93, 1 Co 2.11
Co 0.5001 0.0000 0.0000  6 O 2.10-2.11
O 0.2324 0.2126 0.7645  1 Re 1.95, 1 Co 2.10
Sr 0.9777 0.0052 0.3754  8 O 2.55-2.81
Co 0.4999 0.0000 0.5000  6 O 2.10-2.11
O 0.7676 0.7874 0.7355  1 Re 1.95, 1 Co 2.10
O 0.2678 0.7125 0.0146  1 Re 1.95, 1 Co 2.10
Sr 0.4779 0.4948 0.8746  8 O 2.55-2.82
Re 0.9999 0.5000 0.5000  6 O 1.93-1.95
O 0.2851 0.7351 0.2361  1 Re 1.94, 1 Co 2.10
O 0.7849 0.7647 0.0139  1 Re 1.94, 1 Co 2.10
O 0.5076 0.9441 0.8694  1 Re 1.93, 1 Co 2.11
O 0.2154 0.2354 0.9861  1 Re 1.94, 1 Co 2.10
O 0.4925 0.0558 0.1306  1 Re 1.93, 1 Co 2.11
Re 0.0001 0.5000 0.0000  6 O 1.93-1.95
O 0.7846 0.7647 0.5139  1 Re 1.94, 1 Co 2.10
Co 0.0000 0.5000 0.7500  6 O 2.10-2.11
Sr 0.4777 0.4949 0.3746  8 O 2.55-2.81
O 0.5076 0.9442 0.3695  1 Re 1.93, 1 Co 2.11
O 0.2320 0.2121 0.2645  1 Re 1.95, 1 Co 2.10
O 0.0078 0.5559 0.3806  1 Re 1.93, 1 Co 2.11
O 0.2846 0.7355 0.7361  1 Re 1.94, 1 Co 2.10
O 0.7153 0.2646 0.7639  1 Re 1.94, 1 Co 2.10
Sr 0.9780 0.0052 0.8754  8 O 2.55-2.81
O 0.9922 0.4441 0.6194  1 Re 1.93, 1 Co 2.11
O 0.7322 0.2875 0.4855  1 Re 1.95, 1 Co 2.10
Sr 0.5220 0.5051 0.6254  8 O 2.55-2.82
Re 0.5000 0.0000 0.7500  6 O 1.93-1.95
Co 0.0000 0.5000 0.2500  6 O 2.10-2.11
O 0.7324 0.2875 0.9854  1 Re 1.95, 1 Co 2.10


Computed, not measured: Sr4Co3ReO12 after structural relaxation at the PBE+U level of DFT.

SG: No. 123
Calculated total energy: -132.2 eV per formula unit
Total magnetization: 10.050 μB/cell

a = 5.5803 Å, b = 5.5803 Å, c = 7.9370 Å
α = 90.00°, β = 90.00°, γ = 90.00°
With the nearest neighbours (Å) after each atom.
Positions (direct):
Co 0.0000 0.0000 0.0000  6 O 1.86-2.07
Re 0.5000 0.5000 0.0000  6 O 1.88-1.91
Sr 0.0000 0.5000 0.7272  12 O 2.67-2.93
Co 0.5000 0.5000 0.5000  6 O 1.93-2.06
Sr 0.5000 0.0000 0.2728  12 O 2.67-2.93
O 0.7441 0.2559 0.5000  2 Co 1.93-2.02
O 0.2559 0.7441 0.5000  2 Co 1.93-2.02
O 0.2559 0.2559 0.5000  2 Co 1.93-2.02
Sr 0.0000 0.5000 0.2728  12 O 2.67-2.93
O 0.2618 0.2618 0.0000  1 Re 1.88, 1 Co 2.07
O 0.7382 0.2618 0.0000  1 Re 1.88, 1 Co 2.07
O 0.5000 0.5000 0.2402  1 Re 1.91, 1 Co 2.06
O 0.7382 0.7382 0.0000  1 Re 1.88, 1 Co 2.07
O 0.2618 0.7382 0.0000  1 Re 1.88, 1 Co 2.07
O 0.7441 0.7441 0.5000  2 Co 1.93-2.02
Sr 0.5000 0.0000 0.7272  12 O 2.67-2.93
O 0.5000 0.5000 0.7598  1 Re 1.91, 1 Co 2.06
O 0.0000 0.0000 0.2344  1 Co 1.86
Co 0.0000 0.0000 0.5000  6 O 2.02-2.11
O 0.0000 0.0000 0.7656  1 Co 1.86


Computed, not measured: Co2ReTeO after structural relaxation at the PBE+U level of DFT.

SG: No. 123
Calculated total energy: -28.4 eV per formula unit
Total magnetization: 3.846 μB/cell

a = 4.2187 Å, b = 4.2187 Å, c = 4.0497 Å
α = 90.00°, β = 90.00°, γ = 90.00°
With the nearest neighbours (Å) after each atom.
Positions (direct):
O 0.0000 0.0000 0.0000  2 Re 2.02, 4 Co 2.11
Re 0.0000 0.0000 0.5000  2 O 2.02
Co 0.5000 0.0000 0.0000  2 O 2.11
Te 0.5000 0.5000 0.5000  8 Co 2.92, 4 Re 2.98
Co 0.0000 0.5000 0.0000  2 O 2.11


Computed, not measured: VCoReO2 after structural relaxation at the PBE+U level of DFT.

SG: No. 123
Calculated total energy: -33.8 eV per formula unit
Total magnetization: 4.145 μB/cell

a = 3.6354 Å, b = 5.5116 Å, c = 3.6354 Å
α = 90.00°, β = 90.00°, γ = 90.00°
With the nearest neighbours (Å) after each atom.
Positions (direct):
V 0.0000 0.0000 0.0000  4 O 1.82
O 0.5000 0.0000 0.0000  2 V 1.82
Re 0.0000 0.5000 0.0000  4 Co 2.57, 2 V 2.76
O 0.0000 0.0000 0.5000  2 V 1.82
Co 0.5000 0.5000 0.5000  4 Re 2.57


Computed, not measured: YCoRe2O after structural relaxation at the PBE+U level of DFT.

SG: No. 123
Calculated total energy: -36.2 eV per formula unit
Total magnetization: 1.031 μB/cell

a = 4.7340 Å, b = 3.6625 Å, c = 4.7340 Å
α = 90.00°, β = 90.00°, γ = 90.00°
With the nearest neighbours (Å) after each atom.
Positions (direct):
Re 0.0000 0.0000 0.5000  2 Co 2.37
O 0.0000 0.5000 0.0000  2 Co 1.83
Re 0.5000 0.0000 0.0000  2 Co 2.37
Co 0.0000 0.0000 0.0000  2 O 1.83
Y 0.5000 0.5000 0.5000  8 Re 2.99, 4 O 3.35